Compound: MgNiIO2
Source: Alexandria via LeMat-Bulk
Functional: PBE+U
Structure: relaxed

Volume, A^3/atom: 17.215
E above lowest polymorph, eV per atom: 0.069
Total magnetization, μB/cell: 2.6

CIF file:
```
data_MgNiIO2
_space_group_name_H-M_alt 'P 4/m m m'
_space_group_IT_number 123
_space_group_name_Hall '-P 4 2'
_cell_length_a 3.980
_cell_length_b 3.980
_cell_length_c 5.434
_cell_angle_alpha 90.00
_cell_angle_beta 90.00
_cell_angle_gamma 90.00
loop_
_atom_site_label
_atom_site_fract_x
_atom_site_fract_y
_atom_site_fract_z
Mg1 0.000 0.000 0.000
Ni1 0.500 0.500 0.500
I1 0.500 0.500 0.000
O1 0.000 0.500 0.500
```